Entry from Alexandria: an optimized crystal structure of Cu2MoPAu (GGA-PBE).

Output
E_form in eV per atom: 1.08

The structure in CIF format:
```
data_Cu2MoPAu
_chemical_formula_sum 'Cu2 Mo1 P1 Au1'
_cell_length_a 4.7463
_cell_length_b 4.7463
_cell_length_c 4.5286
_cell_angle_alpha 90.00
_cell_angle_beta 90.00
_cell_angle_gamma 90.00
_symmetry_space_group_name_H-M 'P 4/m m m'
_symmetry_Int_Tables_number 123
_symmetry_space_group_name_Hall '-P 4 2'
loop_
_atom_site_label
_atom_site_fract_x
_atom_site_fract_y
_atom_site_fract_z
Cu1 0.0000 0.5000 0.0000
Mo1 0.0000 0.0000 0.0000
P1 0.0000 0.0000 0.5000
Au1 0.5000 0.5000 0.5000
```

=====

Entry from Alexandria: an optimized crystal structure of CuReMo2Au (GGA-PBE).

Output
E_form in eV per atom: 1.55

The structure in CIF format:
```
data_CuReMo2Au
_chemical_formula_sum 'Cu1 Re1 Mo2 Au1'
_cell_length_a 4.7213
_cell_length_b 4.7213
_cell_length_c 4.6355
_cell_angle_alpha 90.00
_cell_angle_beta 90.00
_cell_angle_gamma 90.00
_symmetry_space_group_name_H-M 'P 4/m m m'
_symmetry_Int_Tables_number 123
_symmetry_space_group_name_Hall '-P 4 2'
loop_
_atom_site_label
_atom_site_fract_x
_atom_site_fract_y
_atom_site_fract_z
Cu1 0.0000 0.0000 0.0000
Re1 0.0000 0.0000 0.5000
Mo1 0.0000 0.5000 0.5000
Au1 0.5000 0.5000 0.0000
```

=====

Entry from Alexandria: an optimized crystal structure of CuAuN (GGA-PBE).

Output
E above lowest polymorph in meV/atom: 514
Formation energy without anion corrections in eV per atom: 0.814

The structure in CIF format:
```
data_CuAuN
_chemical_formula_sum 'Cu2 Au2 N2'
_cell_length_a 3.2565
_cell_length_b 3.6011
_cell_length_c 7.7768
_cell_angle_alpha 90.00
_cell_angle_beta 90.00
_cell_angle_gamma 90.00
_symmetry_space_group_name_H-M 'A m m 2'
_symmetry_Int_Tables_number 38
loop_
_symmetry_equiv_pos_as_xyz
'x,y,z'
'-x,-y,z'
'-x,y,z'
'x,-y,z'
'x,y+1/2,z+1/2'
'-x,-y+1/2,z+1/2'
'-x,y+1/2,z+1/2'
'x,-y+1/2,z+1/2'
loop_
_atom_site_label
_atom_site_fract_x
_atom_site_fract_y
_atom_site_fract_z
Cu1 0.0000 0.0000 0.0000
Au1 0.5000 0.0000 0.2673
N1 0.0000 0.0000 0.4499
```

=====

Entry from Alexandria: an optimized crystal structure of CuAuN (GGA-PBE).

Output
E above lowest polymorph in meV/atom: 427
Formation energy without anion corrections in eV per atom: 0.727

The structure in CIF format:
```
data_CuAuN
_chemical_formula_sum 'Cu1 Au1 N1'
_cell_length_a 2.9179
_cell_length_b 2.9179
_cell_length_c 4.4634
_cell_angle_alpha 90.00
_cell_angle_beta 90.00
_cell_angle_gamma 90.00
_symmetry_space_group_name_H-M 'P 4/m m m'
_symmetry_Int_Tables_number 123
_symmetry_space_group_name_Hall '-P 4 2'
loop_
_atom_site_label
_atom_site_fract_x
_atom_site_fract_y
_atom_site_fract_z
Cu1 0.0000 0.0000 0.0000
Au1 0.5000 0.5000 0.5000
N1 0.5000 0.5000 0.0000
```

=====

Entry from Alexandria: an optimized crystal structure of CuAuN (GGA-PBE).

Output
E above lowest polymorph in meV/atom: 467
Formation energy without anion corrections in eV per atom: 0.767

The structure in CIF format:
```
data_CuAuN
_chemical_formula_sum 'Cu2 Au2 N2'
_cell_length_a 5.2366
_cell_length_b 3.0973
_cell_length_c 5.2502
_cell_angle_alpha 90.00
_cell_angle_beta 108.73
_cell_angle_gamma 90.00
_symmetry_space_group_name_H-M 'C 1 m 1'
_symmetry_Int_Tables_number 8
loop_
_symmetry_equiv_pos_as_xyz
'x,y,z'
'x,-y,z'
'x+1/2,y+1/2,z'
'x+1/2,-y+1/2,z'
loop_
_atom_site_label
_atom_site_fract_x
_atom_site_fract_y
_atom_site_fract_z
Cu1 0.0000 0.0000 0.0000
Au1 0.4727 0.0000 0.4220
N1 0.1147 0.5000 0.8491
```

=====

Entry from Alexandria: an optimized crystal structure of CuAuN (GGA-PBE).

Output
E above lowest polymorph in meV/atom: 0
Formation energy without anion corrections in eV per atom: 0.300

The structure in CIF format:
```
data_CuAuN
_chemical_formula_sum 'Cu4 Au4 N4'
_cell_length_a 4.1389
_cell_length_b 4.1416
_cell_length_c 13.1446
_cell_angle_alpha 90.00
_cell_angle_beta 91.67
_cell_angle_gamma 90.00
_symmetry_space_group_name_H-M 'C 1 2/m 1'
_symmetry_Int_Tables_number 12
loop_
_symmetry_equiv_pos_as_xyz
'x,y,z'
'-x,-y,-z'
'-x,y,-z'
'x,-y,z'
'x+1/2,y+1/2,z'
'-x+1/2,-y+1/2,-z'
'-x+1/2,y+1/2,-z'
'x+1/2,-y+1/2,z'
loop_
_atom_site_label
_atom_site_fract_x
_atom_site_fract_y
_atom_site_fract_z
Cu1 0.2272 0.0000 0.2928
Au1 0.2399 0.5000 0.4173
N1 0.0025 0.5000 0.9576
```

=====

Entry from Alexandria: an optimized crystal structure of CuAuN (GGA-PBE).

Output
E above lowest polymorph in meV/atom: 378
Formation energy without anion corrections in eV per atom: 0.678

The structure in CIF format:
```
data_CuAuN
_chemical_formula_sum 'Cu2 Au2 N2'
_cell_length_a 4.2792
_cell_length_b 3.3804
_cell_length_c 5.7933
_cell_angle_alpha 90.00
_cell_angle_beta 90.00
_cell_angle_gamma 90.00
_symmetry_space_group_name_H-M 'A m m 2'
_symmetry_Int_Tables_number 38
loop_
_symmetry_equiv_pos_as_xyz
'x,y,z'
'-x,-y,z'
'-x,y,z'
'x,-y,z'
'x,y+1/2,z+1/2'
'-x,-y+1/2,z+1/2'
'-x,y+1/2,z+1/2'
'x,-y+1/2,z+1/2'
loop_
_atom_site_label
_atom_site_fract_x
_atom_site_fract_y
_atom_site_fract_z
Cu1 0.0000 0.0000 0.0000
Au1 0.5000 0.0000 0.6640
N1 0.0000 0.0000 0.6647
```

=====

Entry from Alexandria: an optimized crystal structure of Cu2AuN2 (GGA-PBE).

Output
E above lowest polymorph in meV/atom: 353
Formation energy without anion corrections in eV per atom: 1.184

The structure in CIF format:
```
data_Cu2AuN2
_chemical_formula_sum 'Cu4 Au2 N4'
_cell_length_a 6.1003
_cell_length_b 6.1003
_cell_length_c 2.9918
_cell_angle_alpha 90.00
_cell_angle_beta 90.00
_cell_angle_gamma 90.00
_symmetry_space_group_name_H-M 'P 4/m b m'
_symmetry_Int_Tables_number 127
_symmetry_space_group_name_Hall '-P 4 2ab'
loop_
_atom_site_label
_atom_site_fract_x
_atom_site_fract_y
_atom_site_fract_z
Cu1 0.1478 0.3522 0.0000
Au1 0.0000 0.0000 0.5000
N1 0.1724 0.6724 0.5000
```